Entry 1:
First-principles (PBE-GGA) data for an optimized crystal structure of V6GaCo6, as listed in the Alexandria database.

Values from the calculation:
Energy relative to the elements (eV per atom): -0.131
Magnetic moment (μB per cell): 0.00
E (Ry/atom): -0.5771

Structure (CIF):
```
data_V6GaCo6
_symmetry_space_group_name_H-M 'P 1'
_symmetry_Int_Tables_number 1
_cell_length_a 4.722
_cell_length_b 4.722
_cell_length_c 8.287
_cell_angle_alpha 90.00
_cell_angle_beta 90.00
_cell_angle_gamma 120.00
loop_
_symmetry_equiv_pos_as_xyz
'x,y,z'
loop_
_atom_site_label
_atom_site_fract_x
_atom_site_fract_y
_atom_site_fract_z
_atom_site_occupancy
V1 0.000 0.000 0.148 1
V2 0.000 0.000 0.852 1
V3 0.333 0.667 0.000 1
V4 0.333 0.667 0.500 1
V5 0.667 0.333 0.000 1
V6 0.667 0.333 0.500 1
Ga1 0.000 0.000 0.500 1
Co1 0.000 0.500 0.257 1
Co2 0.000 0.500 0.743 1
Co3 0.500 0.000 0.257 1
Co4 0.500 0.000 0.743 1
Co5 0.500 0.500 0.257 1
Co6 0.500 0.500 0.743 1
```

***

Entry 2:
First-principles (PBE-GGA) data for an optimized crystal structure of Y2TcGe2, as listed in the Alexandria database.

Values from the calculation:
Energy relative to the elements (eV per atom): -0.528
Magnetic moment (μB per cell): 0.00
E (Ry/atom): -0.5170

Structure (CIF):
```
data_Y2TcGe2
_symmetry_space_group_name_H-M 'P 1'
_symmetry_Int_Tables_number 1
_cell_length_a 7.469
_cell_length_b 7.469
_cell_length_c 7.469
_cell_angle_alpha 130.03
_cell_angle_beta 72.10
_cell_angle_gamma 131.61
loop_
_symmetry_equiv_pos_as_xyz
'x,y,z'
loop_
_atom_site_label
_atom_site_fract_x
_atom_site_fract_y
_atom_site_fract_z
_atom_site_occupancy
Y1 0.146 0.206 0.352 1
Y2 0.354 0.706 0.061 1
Y3 0.646 0.294 0.939 1
Y4 0.854 0.794 0.648 1
Tc1 0.250 0.750 0.500 1
Tc2 0.750 0.250 0.500 1
Ge1 0.106 0.740 0.845 1
Ge2 0.394 0.240 0.634 1
Ge3 0.606 0.760 0.366 1
Ge4 0.894 0.260 0.155 1
```

***

Entry 3:
First-principles (PBE-GGA) data for an optimized crystal structure of AlTcAsBr2, as listed in the Alexandria database.

Values from the calculation:
Uncorrected formation energy (eV/f.u.): 1.73
Magnetic moment (μB per cell): 1.02
E (Ry/atom): -0.2995

Structure (CIF):
```
data_AlTcAsBr2
_symmetry_space_group_name_H-M 'P 1'
_symmetry_Int_Tables_number 1
_cell_length_a 5.317
_cell_length_b 5.317
_cell_length_c 4.732
_cell_angle_alpha 90.00
_cell_angle_beta 90.00
_cell_angle_gamma 90.00
loop_
_symmetry_equiv_pos_as_xyz
'x,y,z'
loop_
_atom_site_label
_atom_site_fract_x
_atom_site_fract_y
_atom_site_fract_z
_atom_site_occupancy
Al1 0.000 0.000 0.000 1
Tc1 0.500 0.500 0.500 1
As1 0.500 0.500 0.000 1
Br1 0.000 0.500 0.500 1
Br2 0.500 0.000 0.500 1
```

***

Question: magnetic moment of number 1 (V6GaCo6)?
Answer: 0.00 μB per cell